Compound: RbIn2P
Source: the Alexandria database
Functional: PBE-GGA
Structure: optimized geometry Values from VASP.

space-group type: R-3m
energy of formation from the pure elements: -0.41 eV per formula unit
E_tot: -3.066 eV per atom

Quantum ESPRESSO input file:
```
&SYSTEM
  ibrav = 0, nat = 12, ntyp = 3
/
ATOMIC_SPECIES
Rb 85.47 Rb.upf
In 114.82 In.upf
P 30.97 P.upf
CELL_PARAMETERS angstrom
4.158 0.000 0.000
-2.079 3.601 0.000
0.000 0.000 26.580
ATOMIC_POSITIONS crystal
Rb 0.000 0.000 0.000
Rb 0.333 0.667 0.667
Rb 0.667 0.333 0.333
In 0.000 0.000 0.221
In 0.000 0.000 0.779
In 0.333 0.667 0.445
In 0.333 0.667 0.888
In 0.667 0.333 0.112
In 0.667 0.333 0.555
P 0.000 0.000 0.500
P 0.333 0.667 0.167
P 0.667 0.333 0.833
```